1.
KRb3Na2: relaxed, PBE.

Lattice parameters (Å, degrees): 5.0609 7.3090 11.5658 108.42 90.00 90.00
Last column: nearest neighbours and their distance in Å.
Positions (direct):
Rb 0.5000 0.5000 0.0000  4 Na 4.28, 4 K 4.45
Rb 0.5000 0.1795 0.3590  6 Na 4.39-4.47, 2 K 4.68, 2 Rb 4.79
Rb 0.5000 0.8205 0.6410  6 Na 4.39-4.47, 2 K 4.68, 2 Rb 4.79
Na 0.0000 0.6570 0.3140  8 Rb 4.28-4.47
Na 0.0000 0.3430 0.6860  8 Rb 4.28-4.47
K 0.0000 0.0000 0.0000  8 Rb 4.45-4.68

Symmetry = Cmmm (65)
Calculated formation energy = 20 kJ/mol of formula units
Polymorph energy (0 for the lowest one) = 7.8 meV per atom

2.
K7Rb3Na4: relaxed, PBE.

Lattice parameters (Å, degrees): 6.9245 11.6460 12.5420 83.19 73.98 72.70
Last column: nearest neighbours and their distance in Å.
Positions (direct):
Na 0.6416 0.4495 0.2672  5 K 4.04-4.30, 2 Rb 4.51
Na 0.9063 0.8625 0.3249  7 K 4.08-4.38, 1 Rb 4.48
Na 0.0937 0.1375 0.6751  7 K 4.08-4.38, 1 Rb 4.48
Na 0.3584 0.5505 0.7328  5 K 4.04-4.30, 2 Rb 4.51
K 0.8309 0.4259 0.9124  4 Na 4.28-4.38, 4 K 4.30-4.41, 1 Rb 4.71
K 0.4676 0.2075 0.8573  3 Na 4.04-4.19, 5 K 4.30-4.47, 1 Rb 4.51
K 0.1691 0.5741 0.0876  4 Na 4.28-4.38, 4 K 4.30-4.41, 1 Rb 4.71
K 0.0000 0.0000 0.0000  2 Na 4.15, 4 K 4.47
K 0.5324 0.7925 0.1427  3 Na 4.04-4.19, 5 K 4.30-4.47, 1 Rb 4.51
K 0.3359 0.8261 0.5020  4 Na 4.06-4.11, 1 K 4.36
K 0.6641 0.1739 0.4980  4 Na 4.06-4.11, 1 K 4.36
Rb 0.7109 0.8214 0.7568  8 K 4.51-5.00, 4 Na 4.61-5.00, 1 Rb 4.82
Rb 0.2891 0.1786 0.2432  8 K 4.51-5.00, 4 Na 4.61-5.00, 1 Rb 4.82
Rb 0.0000 0.5000 0.5000  6 Na 4.48-4.51, 2 Rb 4.82, 2 K 5.01

Symmetry = C2/m (12)
Calculated formation energy = 44 kJ/mol of formula units

3.
K9Rb3Na: relaxed, PBE.

Lattice parameters (Å, degrees): 10.1488 13.6422 14.6567 85.04 90.00 90.00
Last column: nearest neighbours and their distance in Å.
Positions (direct):
Rb 0.0000 0.0000 0.0000  8 K 4.46-4.83
Rb 0.9943 0.4921 0.3013  7 K 4.54-5.04, 1 Rb 4.96
Rb 0.5057 0.4921 0.3013  7 K 4.54-5.04, 1 Rb 4.96
Rb 0.5000 0.0000 0.0000  8 K 4.46-4.83
Rb 0.4943 0.5079 0.6987  7 K 4.54-5.04, 1 Rb 4.96
Rb 0.0057 0.5079 0.6987  7 K 4.54-5.04, 1 Rb 4.96
Na 0.2500 0.9992 0.4604  8 K 3.96-4.23
Na 0.7500 0.0008 0.5396  8 K 3.96-4.23
K 0.7500 0.1940 0.7698  1 Na 4.46, 6 K 4.55-4.72, 2 Rb 4.83
K 0.0198 0.2383 0.5220  2 Na 4.17-4.23, 4 K 4.42-4.67, 1 Rb 4.54
K 0.7500 0.7592 0.7912  4 K 4.11-4.31, 2 Rb 4.60
K 0.9802 0.7617 0.4780  2 Na 4.17-4.23, 4 K 4.42-4.67, 1 Rb 4.54
K 0.0405 0.6562 0.9919  5 K 4.25-4.70, 1 Rb 4.72
K 0.4477 0.9458 0.7068  2 Na 3.96-4.14, 3 K 4.01-4.42
K 0.4595 0.6562 0.9919  5 K 4.25-4.70, 1 Rb 4.72
K 0.5405 0.3438 0.0081  5 K 4.25-4.70, 1 Rb 4.72
K 0.4802 0.2383 0.5220  2 Na 4.17-4.23, 4 K 4.42-4.67, 1 Rb 4.54
K 0.5523 0.0542 0.2932  2 Na 3.96-4.14, 3 K 4.01-4.42
K 0.9477 0.0542 0.2932  2 Na 3.96-4.14, 3 K 4.01-4.42
K 0.2500 0.8060 0.2302  1 Na 4.46, 6 K 4.55-4.72, 2 Rb 4.83
K 0.9595 0.3438 0.0081  5 K 4.25-4.70, 1 Rb 4.72
K 0.7500 0.7730 0.1955  8 K 4.58-5.12, 4 Rb 4.71-4.76
K 0.2500 0.2270 0.8045  8 K 4.58-5.12, 4 Rb 4.71-4.76
K 0.5198 0.7617 0.4780  2 Na 4.17-4.23, 4 K 4.42-4.67, 1 Rb 4.54
K 0.0523 0.9458 0.7068  2 Na 3.96-4.14, 3 K 4.01-4.42
K 0.2500 0.2408 0.2088  4 K 4.11-4.31, 2 Rb 4.60

Symmetry = P2_1/m (11)
Calculated formation energy = 68 kJ/mol of formula units

4.
KRb6Na: relaxed, PBE.

Lattice parameters (Å, degrees): 5.8314 10.5178 10.5178 90.00 90.00 90.00
Last column: nearest neighbours and their distance in Å.
Positions (direct):
Rb 0.0000 0.2344 0.7656  2 Na 4.55, 6 Rb 4.73-4.93, 2 K 4.91
Rb 0.5000 0.5000 0.0000  8 Rb 4.73, 2 K 5.26, 2 Na 5.26
Rb 0.0000 0.7656 0.2344  2 Na 4.55, 6 Rb 4.73-4.93, 2 K 4.91
Rb 0.5000 0.0000 0.5000  8 Rb 4.73, 2 Na 5.26, 2 K 5.26
Rb 0.0000 0.2344 0.2344  2 Na 4.55, 6 Rb 4.73-4.93, 2 K 4.91
Rb 0.0000 0.7656 0.7656  2 Na 4.55, 6 Rb 4.73-4.93, 2 K 4.91
Na 0.5000 0.0000 0.0000  8 Rb 4.55
K 0.5000 0.5000 0.5000  12 Rb 4.91-5.26

Symmetry = P4/mmm (123)
Calculated formation energy = 15 kJ/mol of formula units
Polymorph energy (0 for the lowest one) = 0.0 meV per atom

5.
KRb3Na8: relaxed, PBE.

Lattice parameters (Å, degrees): 7.5165 7.5165 12.4542 90.00 90.00 120.00
Last column: nearest neighbours and their distance in Å.
Positions (direct):
Rb 0.0000 0.0000 0.9342  12 Na 4.41-4.51, 3 Rb 4.63, 1 K 4.65
Rb 0.6667 0.3333 0.0629  12 Na 4.41-4.48, 4 Rb 4.63-4.70
Rb 0.6667 0.3333 0.4404  12 Na 4.40-4.43, 3 K 4.59, 1 Rb 4.70
Na 0.1664 0.8336 0.2515  6 Na 3.75-3.80
Na 0.0011 0.5006 0.7486  6 Na 3.75-3.81
Na 0.3333 0.6667 0.0008  6 Na 3.80-3.81
Na 0.4994 0.5006 0.7486  6 Na 3.75-3.81
Na 0.1664 0.3328 0.2515  6 Na 3.75-3.80
Na 0.6672 0.8336 0.2515  6 Na 3.75-3.80
Na 0.4994 0.9989 0.7486  6 Na 3.75-3.81
Na 0.3333 0.6667 0.5004  6 Na 3.77-3.79
K 0.0000 0.0000 0.5611  12 Na 4.40-4.42, 4 Rb 4.59-4.65

Symmetry = P3m1 (156)
Calculated formation energy = 3 kJ/mol of formula units

6.
K2Rb8Na3: relaxed, PBE.

Lattice parameters (Å, degrees): 9.3573 11.6652 11.1679 121.48 98.21 90.00
Last column: nearest neighbours and their distance in Å.
Positions (direct):
Rb 0.1012 0.3997 0.7995  4 Rb 4.54-5.04, 1 K 4.60, 2 Na 4.61
Rb 0.5802 0.1982 0.7784  1 K 4.23, 2 Na 4.31-4.50, 2 Rb 4.46-4.71
Rb 0.2104 0.8232 0.6465  1 Na 3.95, 1 K 4.38
Rb 0.5802 0.5802 0.7784  1 K 4.23, 2 Na 4.31-4.50, 2 Rb 4.46-4.71
Rb 0.7896 0.1768 0.3535  1 Na 3.95, 1 K 4.38
Rb 0.4198 0.8018 0.2216  1 K 4.23, 2 Na 4.31-4.50, 2 Rb 4.46-4.71
Rb 0.8988 0.6003 0.2005  4 Rb 4.54-5.04, 1 K 4.60, 2 Na 4.61
Rb 0.4198 0.4198 0.2216  1 K 4.23, 2 Na 4.31-4.50, 2 Rb 4.46-4.71
K 0.2601 0.1840 0.3680  4 Rb 4.23-4.60, 3 Na 4.32-4.47
K 0.7399 0.8160 0.6320  4 Rb 4.23-4.60, 3 Na 4.32-4.47
Na 0.5000 0.0000 0.0000  6 Rb 3.95-4.31
Na 0.0000 0.1565 0.0000  1 Na 3.65
Na 0.0000 0.8435 0.0000  1 Na 3.65

Symmetry = C2/m (12)
Calculated formation energy = 85 kJ/mol of formula units
Polymorph energy (0 for the lowest one) = 25.6 meV per atom

7.
K2Rb5Na2: relaxed, PBE.

Lattice parameters (Å, degrees): 8.4046 12.0246 15.1001 113.46 106.16 90.00
Last column: nearest neighbours and their distance in Å.
Positions (direct):
Na 0.6836 0.9228 0.5000  9 Rb 4.26-4.71
Na 0.0000 0.8806 0.0000  4 K 4.21-4.39, 6 Rb 4.41-4.71
Na 0.5000 0.3806 0.0000  4 K 4.21-4.39, 6 Rb 4.41-4.71
Na 0.3164 0.4228 0.5000  9 Rb 4.26-4.71
K 0.8086 0.4905 0.8649  1 K 4.13, 2 Na 4.21-4.39, 4 Rb 4.37-4.62
K 0.4437 0.1256 0.1351  1 K 4.13, 2 Na 4.21-4.39, 4 Rb 4.37-4.62
K 0.5563 0.9905 0.8649  1 K 4.13, 2 Na 4.21-4.39, 4 Rb 4.37-4.62
K 0.1914 0.6256 0.1351  1 K 4.13, 2 Na 4.21-4.39, 4 Rb 4.37-4.62
Rb 0.6018 0.5288 0.3312  3 Na 4.34-4.46, 2 K 4.37-4.52, 2 Rb 4.46-4.68
Rb 0.7706 0.6976 0.6688  3 Na 4.34-4.46, 2 K 4.37-4.52, 2 Rb 4.46-4.68
Rb 0.2294 0.0288 0.3312  3 Na 4.34-4.46, 2 K 4.37-4.52, 2 Rb 4.46-4.68
Rb 0.3006 0.6268 0.8261  3 Na 4.46-4.71, 3 K 4.54-4.72, 3 Rb 4.68-4.97
Rb 0.0255 0.1268 0.8261  3 Na 4.46-4.71, 3 K 4.54-4.72, 3 Rb 4.68-4.97
Rb 0.6994 0.8007 0.1739  3 Na 4.46-4.71, 3 K 4.54-4.72, 3 Rb 4.68-4.97
Rb 0.8277 0.2626 0.5000  3 Na 4.26-4.71
Rb 0.3982 0.1976 0.6688  3 Na 4.34-4.46, 2 K 4.37-4.52, 2 Rb 4.46-4.68
Rb 0.1723 0.7626 0.5000  3 Na 4.26-4.71
Rb 0.9745 0.3007 0.1739  3 Na 4.46-4.71, 3 K 4.54-4.72, 3 Rb 4.68-4.97

Symmetry = Ima2 (46)
Calculated formation energy = 32 kJ/mol of formula units
Polymorph energy (0 for the lowest one) = 0.0 meV per atom

8.
K5Rb4Na2: relaxed, PBE.

Lattice parameters (Å, degrees): 4.7992 11.6246 14.3938 93.30 90.00 90.00
Last column: nearest neighbours and their distance in Å.
Positions (direct):
K 0.0000 0.1895 0.1620  1 Na 4.28, 2 K 4.41-4.70, 4 Rb 4.75
K 0.0000 0.8105 0.8380  1 Na 4.28, 2 K 4.41-4.70, 4 Rb 4.75
K 0.0000 0.5591 0.3131  1 Na 4.50, 4 K 4.52-4.80, 6 Rb 4.70-4.87
K 0.0000 0.5000 0.0000  6 K 4.41-4.80, 4 Rb 4.89
K 0.0000 0.4409 0.6869  1 Na 4.50, 4 K 4.52-4.80, 6 Rb 4.70-4.87
Na 0.0000 0.0565 0.6281  1 Na 3.84, 4 Rb 4.25-4.30, 1 K 4.28
Na 0.0000 0.9435 0.3719  1 Na 3.84, 4 Rb 4.25-4.30, 1 K 4.28
Rb 0.5000 0.2437 0.4459  4 Na 4.25-4.32, 4 K 4.70-4.75
Rb 0.5000 0.7563 0.5541  4 Na 4.25-4.32, 4 K 4.70-4.75
Rb 0.5000 0.8366 0.1347  2 Na 4.30, 2 K 4.75, 2 Rb 4.80
Rb 0.5000 0.1634 0.8653  2 Na 4.30, 2 K 4.75, 2 Rb 4.80

Symmetry = P2/m (10)
Calculated formation energy = 33 kJ/mol of formula units
Polymorph energy (0 for the lowest one) = 15.7 meV per atom

no.,uncorrected energy (Ha/atom),size of the total moment (μB per atom)
1,-0.039,0.000
2,-0.040,0.000
3,-0.038,0.000
4,-0.037,0.000
5,-0.044,0.000
6,-0.037,0.000
7,-0.038,0.000
8,-0.039,0.000